<1>
DFT (PBE) results for crystalline MgHgAs2 at its relaxed geometry.

a = 10.4935 Å, b = 10.4935 Å, c = 10.4935 Å
α = 17.18°, β = 17.18°, γ = 17.18°
Fractional coordinates of all 4 atoms:
1 As 0.0144 0.0144 0.0144
2 As 0.4856 0.4856 0.4856
3 Hg 0.2500 0.2500 0.2500
4 Mg 0.7500 0.7500 0.7500

Computed properties:
D(E_F) (states/eV per atom): 0.637
Calculated volume (Å³ per atom): 21.99

***

<2>
DFT (PBE) results for crystalline MgHgAs2 at its relaxed geometry.

a = 3.5208 Å, b = 3.5208 Å, c = 7.0272 Å
α = 90.00°, β = 90.00°, γ = 90.00°
Fractional coordinates of all 4 atoms:
1 As 0.0000 0.0000 0.0301
2 As 0.5000 0.5000 0.1820
3 Hg 0.0000 0.0000 0.5237
4 Mg 0.5000 0.5000 0.7643

Computed properties:
D(E_F) (states/eV per atom): 0.382
Calculated volume (Å³ per atom): 21.78

***

<3>
DFT (PBE) results for crystalline MgHgAs2 at its relaxed geometry.

a = 3.6383 Å, b = 3.5494 Å, c = 8.9478 Å
α = 66.54°, β = 90.00°, γ = 90.00°
Fractional coordinates of all 4 atoms:
1 As 0.0000 0.1012 0.8984
2 As 0.0000 0.3988 0.6016
3 Hg 0.5000 0.2500 0.2500
4 Mg 0.5000 0.7500 0.7500

Computed properties:
D(E_F) (states/eV per atom): 0.332
Calculated volume (Å³ per atom): 26.50

***

Stability ranking, top entry: <3>; the second entry is 0.085 eV/atom less favorable.

***

<1>
DFT (PBE) results for crystalline MgHgAs2 at its relaxed geometry.

a = 4.1505 Å, b = 4.4676 Å, c = 4.4676 Å
α = 90.00°, β = 90.00°, γ = 90.00°
Fractional coordinates of all 4 atoms:
1 As 0.0000 0.0000 0.0000
2 As 0.0000 0.5000 0.5000
3 Hg 0.5000 0.5000 0.0000
4 Mg 0.5000 0.0000 0.5000

Computed properties:
D(E_F) (states/eV per atom): 0.372
Calculated volume (Å³ per atom): 20.71

***

<2>
DFT (PBE) results for crystalline MgHgAs2 at its relaxed geometry.

a = 5.6118 Å, b = 5.6118 Å, c = 5.6118 Å
α = 136.05°, β = 136.05°, γ = 63.91°
Fractional coordinates of all 4 atoms:
1 As 0.0000 0.0000 0.0000
2 As 0.5000 0.5000 0.0000
3 Hg 0.2500 0.7500 0.5000
4 Mg 0.7500 0.2500 0.5000

Computed properties:
D(E_F) (states/eV per atom): 0.589
Calculated volume (Å³ per atom): 21.00

***

<3>
DFT (PBE) results for crystalline MgHgAs2 at its relaxed geometry.

a = 3.1486 Å, b = 4.8308 Å, c = 5.6287 Å
α = 90.00°, β = 90.00°, γ = 90.00°
Fractional coordinates of all 4 atoms:
1 As 0.0000 0.0000 0.8750
2 As 0.5000 0.5000 0.3750
3 Hg 0.0000 0.0000 0.3750
4 Mg 0.5000 0.5000 0.8749

Computed properties:
D(E_F) (states/eV per atom): 0.484
Calculated volume (Å³ per atom): 21.40

***

<4>
DFT (PBE) results for crystalline MgHgAs2 at its relaxed geometry.

a = 5.6096 Å, b = 5.6096 Å, c = 5.1529 Å
α = 90.00°, β = 90.00°, γ = 31.50°
Fractional coordinates of all 4 atoms:
1 As 0.9936 0.9936 0.1252
2 As 0.7498 0.7498 0.6251
3 Hg 0.4954 0.4954 0.6252
4 Mg 0.2613 0.2613 0.1246

Computed properties:
D(E_F) (states/eV per atom): 0.532
Calculated volume (Å³ per atom): 21.18

***

Stability ranking, top entry: <3>; the second entry is 0.051 eV/atom less favorable.

***

<1>
DFT (PBE) results for crystalline MgHgAs2 at its relaxed geometry.

a = 4.6783 Å, b = 4.6199 Å, c = 4.6198 Å
α = 71.43°, β = 90.00°, γ = 90.00°
Fractional coordinates of all 4 atoms:
1 As 0.0000 0.0217 0.0217
2 As 0.5000 0.1846 0.1846
3 Hg 0.0000 0.5011 0.5011
4 Mg 0.5000 0.7925 0.7926

Computed properties:
D(E_F) (states/eV per atom): 0.201
Calculated volume (Å³ per atom): 23.66

***

<2>
DFT (PBE) results for crystalline MgHgAs2 at its relaxed geometry.

a = 9.7730 Å, b = 9.7730 Å, c = 9.7730 Å
α = 18.81°, β = 18.81°, γ = 18.81°
Fractional coordinates of all 4 atoms:
1 As 0.0097 0.0097 0.0097
2 As 0.2455 0.2455 0.2455
3 Hg 0.4961 0.4961 0.4961
4 Mg 0.7487 0.7487 0.7487

Computed properties:
D(E_F) (states/eV per atom): 0.598
Calculated volume (Å³ per atom): 21.20

***

<3>
DFT (PBE) results for crystalline MgHgAs2 at its relaxed geometry.

a = 4.7493 Å, b = 4.7493 Å, c = 3.8482 Å
α = 90.00°, β = 90.00°, γ = 105.25°
Fractional coordinates of all 4 atoms:
1 As 0.0000 0.0000 0.0000
2 As 0.5000 0.5000 0.0000
3 Hg 0.5000 0.0000 0.5000
4 Mg 0.0000 0.5000 0.5000

Computed properties:
D(E_F) (states/eV per atom): 0.335
Calculated volume (Å³ per atom): 20.94

***

<4>
DFT (PBE) results for crystalline MgHgAs2 at its relaxed geometry.

a = 2.9644 Å, b = 2.9644 Å, c = 10.3424 Å
α = 90.00°, β = 90.00°, γ = 90.01°
Fractional coordinates of all 4 atoms:
1 As 0.0000 0.0000 0.9425
2 As 0.0000 0.0000 0.5575
3 Hg 0.5000 0.5000 0.2500
4 Mg 0.5000 0.5000 0.7500

Computed properties:
D(E_F) (states/eV per atom): 0.323
Calculated volume (Å³ per atom): 22.72

***

Stability ranking, top entry: <1>; the second entry is 0.040 eV/atom less favorable.

***

<1>
DFT (PBE) results for crystalline MgHgAs at its relaxed geometry.

a = 5.6729 Å, b = 5.6729 Å, c = 5.6729 Å
α = 146.83°, β = 138.19°, γ = 54.38°
Fractional coordinates of all 3 atoms:
1 As 0.0289 0.0289 0.0000
2 Hg 0.3324 0.3324 0.0000
3 Mg 0.6386 0.6386 0.0000

Computed properties:
D(E_F) (states/eV per atom): 0.268
Calculated volume (Å³ per atom): 22.05

***

<2>
DFT (PBE) results for crystalline MgHgAs at its relaxed geometry.

a = 6.6816 Å, b = 6.6817 Å, c = 3.2241 Å
α = 76.04°, β = 76.04°, γ = 27.92°
Fractional coordinates of all 3 atoms:
1 As 0.0198 0.0198 0.9802
2 Hg 0.3256 0.3256 0.6744
3 Mg 0.6546 0.6546 0.3454

Computed properties:
D(E_F) (states/eV per atom): 0.411
Calculated volume (Å³ per atom): 21.76

***

Stability ranking, top entry: <1>; the second entry is 0.025 eV/atom less favorable.